DFT (GGA-PBE) results for a relaxed structure of Li12CdAg6.

a = 7.004 Å, b = 7.004 Å, c = 7.004 Å
α = 90.32°, β = 90.32°, γ = 90.32°
Fractional coordinates of all 19 atoms:
Li 0.026 0.928 0.305
Li 0.072 0.695 0.974
Li 0.120 0.472 0.345
Li 0.305 0.026 0.928
Li 0.345 0.120 0.472
Li 0.472 0.345 0.120
Li 0.528 0.655 0.880
Li 0.655 0.880 0.528
Li 0.695 0.974 0.072
Li 0.880 0.528 0.655
Li 0.928 0.305 0.026
Li 0.974 0.072 0.695
Cd 0.500 0.500 0.500
Ag 0.218 0.773 0.619
Ag 0.227 0.381 0.782
Ag 0.381 0.782 0.227
Ag 0.619 0.218 0.773
Ag 0.773 0.619 0.218
Ag 0.782 0.227 0.381

energy relative to the lowest polymorph listed for this composition = 0.80 eV/f.u.
formation enthalpy at 0 K = -140.4 meV/atom
uncorrected energy = -2.298 eV per atom